[1]
TaPb3S, relaxed, DFT PBE; ΔE_f (raw) = 105 kJ/mol of atoms; energy above the lowest structure with this stoichiometry = 0.372 eV per atom
1.0
5.330 0.000 0.000
0.000 5.330 0.000
0.000 0.000 5.330
Pb S Ta
3 1 1
Cartesian
0.000 2.665 0.000 Pb
0.000 0.000 2.665 Pb
2.665 0.000 0.000 Pb
0.000 0.000 0.000 S
2.665 2.665 2.665 Ta

---

[2]
Al3Ru, relaxed, DFT PBE; calculated formation energy = -410 meV per atom
1.0
4.510 0.000 0.000
0.000 5.442 0.000
0.000 -2.721 4.713
Ru Al
2 6
Cartesian
1.128 2.721 1.571 Ru
3.383 0.000 3.142 Ru
3.383 4.055 0.800 Al
3.383 1.386 0.800 Al
3.383 2.721 3.112 Al
1.128 -1.334 3.912 Al
1.128 1.334 3.912 Al
1.128 0.000 1.601 Al

---

[3]
YTl, relaxed, DFT PBE; calculated formation energy = -288 meV per atom
1.0
-1.363 -1.734 -5.850
-0.631 -4.803 -3.952
-8.108 -2.040 -0.169
Y Tl
3 3
Cartesian
-6.761 -5.426 -6.166 Y
-5.087 -7.193 -9.670 Y
-1.901 -5.584 -8.298 Y
-0.273 -0.792 -1.176 Tl
-3.444 -2.385 -2.529 Tl
-6.416 -3.738 -3.569 Tl

---

[4]
AcSm3Ho2, relaxed, DFT PBE; calculated formation energy = 378 meV per atom; energy above the lowest structure with this stoichiometry = 0.290 eV per atom
1.0
3.517 0.000 0.000
0.000 6.168 0.000
-1.758 -3.084 9.840
Ac Sm Ho
1 3 2
Cartesian
0.000 0.000 0.000 Ac
0.000 3.084 0.000 Sm
1.758 3.084 6.056 Sm
0.000 0.000 3.784 Sm
1.758 3.084 2.739 Ho
0.000 0.000 7.100 Ho

---

[5]
Cr2NiB2, relaxed, DFT PBE; calculated formation energy = -399 meV per atom; energy above the lowest structure with this stoichiometry = 0.000 eV per atom
1.0
5.405 0.000 0.000
0.000 5.405 0.000
0.000 0.000 3.009
Ni B Cr
2 4 4
Cartesian
0.000 0.000 0.000 Ni
2.702 2.702 0.000 Ni
2.077 4.780 0.000 B
4.780 3.327 0.000 B
3.327 0.625 0.000 B
0.625 2.077 0.000 B
0.942 3.645 1.505 Cr
3.645 4.463 1.505 Cr
4.463 1.760 1.505 Cr
1.760 0.942 1.505 Cr

---

[6]
Ti3In2Hg, relaxed, DFT PBE; calculated formation energy = 301 meV per atom; energy above the lowest structure with this stoichiometry = 0.323 eV per atom
1.0
-0.545 2.575 -1.343
-2.135 -2.575 -4.073
-5.988 0.341 6.334
Ti In Hg
3 2 1
Cartesian
-1.068 -1.288 -2.036 Ti
-6.152 0.224 -0.326 Ti
-2.516 0.117 1.245 Ti
-3.637 0.107 -1.571 In
-5.031 0.234 2.489 In
0.000 0.000 0.000 Hg

---

no.,D(E_F) (states/eV/atom),DFT total energy (eV for the cell shown)
1,1.1809,-21.67
2,0.5530,-44.29
3,0.6820,-28.22
4,1.8896,-25.15
5,0.7087,-80.76
6,1.0660,-27.66